Record 1
Here is a relaxed ThSnGe2Rh5 crystal from Alexandria via LeMat-Bulk. Energies are from PBE.

```
ThSnGe2Rh5
1.0
4.189 0.000 0.000
0.000 4.189 0.000
0.000 0.000 8.780
Ge Rh Sn Th
2 5 1 1
Direct
0.500 0.500 0.145
0.500 0.500 0.855
0.500 0.000 0.715
0.000 0.500 0.285
0.000 0.500 0.715
0.500 0.000 0.285
0.500 0.500 0.500
0.000 0.000 0.500
0.000 0.000 0.000
```

Calculated values
Electronic total energy   -63.45 eV/f.u.
Total moment   0.0 μB/f.u.

***

Record 2
Here is a relaxed Rb3Te4Pd crystal from Alexandria via LeMat-Bulk. Energies are from PBE.

```
Rb3Te4Pd
1.0
7.161 0.748 1.190
-2.141 6.874 -1.190
-2.141 -4.054 5.678
Te Rb Pd
4 3 1
Direct
0.578 0.289 0.289
0.000 0.711 0.289
0.000 0.289 0.711
0.422 0.711 0.711
0.500 0.750 0.250
0.500 0.250 0.750
0.000 0.000 0.000
0.000 0.500 0.500
```

Calculated values
Formation energy without anion corrections   -585 meV per atom
Electronic total energy   -25.34 eV/f.u.
Total moment   0.0 μB/f.u.

***

Record 3
Here is a relaxed Rb3DyNp2S6 crystal from Alexandria via LeMat-Bulk. Energies are from PBE.

```
Rb3DyNp2S6
1.0
7.119 -0.001 0.000
-3.559 6.166 0.000
-1.187 -2.055 7.682
S Rb Np Dy
6 3 2 1
Direct
0.731 0.731 0.191
0.064 0.396 0.192
0.396 0.064 0.192
0.604 0.936 0.808
0.269 0.269 0.809
0.936 0.604 0.808
0.834 0.166 0.500
0.166 0.834 0.500
0.500 0.500 0.500
0.333 0.667 0.000
0.667 0.333 0.000
0.000 0.000 0.000
```

Calculated values
Formation energy without anion corrections   -1516 meV per atom
Electronic total energy   -76.34 eV/f.u.
Total moment   8.0 μB/f.u.

***

Record 4
Here is a relaxed CsCuN2F crystal from Alexandria via LeMat-Bulk. Energies are from PBE.

```
CsCuN2F
1.0
4.908 0.000 0.000
0.000 4.908 0.000
0.000 0.000 5.150
N F Cu Cs
2 1 1 1
Direct
0.000 0.500 0.000
0.500 0.000 0.000
0.000 0.000 0.500
0.500 0.500 0.500
0.000 0.000 0.000
```

Calculated values
Formation energy without anion corrections   1988 meV per atom
E above lowest polymorph   1572 meV/atom
Electronic total energy   -13.53 eV/f.u.
Total moment   3.0 μB/f.u.

***

Record 5
Here is a relaxed LiZn2SiO crystal from Alexandria via LeMat-Bulk. Energies are from PBE.

```
LiZn2SiO
1.0
4.229 0.000 0.000
0.000 4.367 0.000
0.000 0.000 4.229
Li Zn O Si
1 2 1 1
Direct
0.500 0.500 0.500
0.500 0.000 0.000
0.000 0.000 0.500
0.000 0.000 0.000
0.000 0.500 0.000
```

Calculated values
Formation energy without anion corrections   -13 meV per atom
Electronic total energy   -14.91 eV/f.u.
Total moment   0.0 μB/f.u.

***

Record 6
Here is a relaxed La2BeI crystal from Alexandria via LeMat-Bulk. Energies are from PBE.

```
La2BeI
1.0
0.000 3.840 3.840
3.840 0.000 3.840
3.840 3.840 0.000
La I Be
2 1 1
Direct
0.750 0.750 0.750
0.250 0.250 0.250
0.500 0.500 0.500
0.000 0.000 0.000
```

Calculated values
Formation energy without anion corrections   -149 meV per atom
E above lowest polymorph   0 meV/atom
Electronic total energy   -15.73 eV/f.u.
Total moment   0.0 μB/f.u.

***

Record 7
Here is a relaxed USi2MoOs crystal from Alexandria via LeMat-Bulk. Energies are from PBE.

```
USi2MoOs
1.0
-3.270 2.257 -1.235
0.851 -0.936 -3.964
-1.678 -4.666 2.926
Mo Si Os U
1 2 1 1
Direct
0.750 0.250 0.500
0.620 0.620 0.240
0.380 0.380 0.760
0.250 0.750 0.500
0.000 0.000 0.000
```

Calculated values
Formation energy without anion corrections   -346 meV per atom
Electronic total energy   -45.92 eV/f.u.
Total moment   2.1 μB/f.u.

***

Record 8
Here is a relaxed Sr2NdGa3Pt4 crystal from Alexandria via LeMat-Bulk. Energies are from PBE.

```
Sr2NdGa3Pt4
1.0
-1.819 -2.975 -2.785
3.199 0.847 -2.994
6.343 -8.083 4.491
Pt Sr Ga Nd
4 2 3 1
Direct
0.500 0.000 0.660
0.000 0.000 0.000
0.500 0.500 0.000
0.000 0.500 0.340
0.000 0.500 0.777
0.500 0.000 0.223
0.000 0.500 0.113
0.000 0.000 0.500
0.500 0.000 0.887
0.500 0.500 0.500
```

Calculated values
Electronic total energy   -49.94 eV/f.u.
Total moment   0.0 μB/f.u.

***

Record 9
Here is a relaxed Np2TcP crystal from Alexandria via LeMat-Bulk. Energies are from PBE.

```
Np2TcP
1.0
-2.332 1.887 1.323
-1.165 -0.685 2.987
4.952 5.471 4.985
P Tc Np
1 1 2
Direct
0.500 0.500 0.500
0.000 0.000 0.000
0.906 0.906 0.281
0.094 0.094 0.719
```

Calculated values
Electronic total energy   -40.56 eV/f.u.
Total moment   5.8 μB/f.u.

***

Record 10
Here is a relaxed Ho6Tm2ThSc crystal from Alexandria via LeMat-Bulk. Energies are from PBE.

```
Ho6Tm2ThSc
1.0
-2.913 2.744 -7.603
-8.280 -2.764 2.278
2.435 8.402 2.203
Tm Ho Sc Th
4 12 2 2
Direct
0.941 0.674 0.789
0.059 0.326 0.211
0.441 0.789 0.674
0.559 0.211 0.326
0.288 0.040 0.451
0.908 0.264 0.519
0.712 0.960 0.549
0.212 0.549 0.960
0.446 0.206 0.860
0.092 0.736 0.481
0.592 0.481 0.736
0.554 0.794 0.140
0.054 0.140 0.794
0.788 0.451 0.040
0.946 0.860 0.206
0.408 0.519 0.264
0.250 0.441 0.559
0.750 0.559 0.441
0.250 0.968 0.032
0.750 0.032 0.968
```

Calculated values
Electronic total energy   -48.70 eV/f.u.
Total moment   0.0 μB/f.u.

***

Record 11
Here is a relaxed ScIn2Au2 crystal from Alexandria via LeMat-Bulk. Energies are from PBE.

```
ScIn2Au2
1.0
-3.217 -1.656 2.010
2.302 -0.316 3.425
-2.378 4.979 4.558
Au Sc In
2 1 2
Direct
0.601 0.601 0.798
0.399 0.399 0.202
0.000 0.000 0.000
0.250 0.750 0.500
0.750 0.250 0.500
```

Calculated values
E above lowest polymorph   198 meV/atom
Electronic total energy   -19.78 eV/f.u.
Total moment   0.0 μB/f.u.

***

Record 12
Here is a relaxed Tb2Er2N3 crystal from Alexandria via LeMat-Bulk. Energies are from PBE.

```
Tb2Er2N3
1.0
3.349 0.000 -0.923
-0.475 5.787 -1.725
-0.153 0.736 5.983
N Er Tb
3 2 2
Direct
0.000 0.000 0.000
0.748 0.245 0.496
0.252 0.755 0.504
0.626 0.889 0.252
0.374 0.111 0.748
0.867 0.634 0.735
0.133 0.366 0.265
```

Calculated values
Formation energy without anion corrections   -1456 meV per atom
Electronic total energy   -53.55 eV/f.u.
Total moment   0.0 μB/f.u.

***

Record 13
Here is a relaxed Sr2TiBr crystal from Alexandria via LeMat-Bulk. Energies are from PBE.

```
Sr2TiBr
1.0
8.912 0.000 0.000
0.000 8.912 0.000
4.456 4.456 3.959
Sr Br Ti
4 2 2
Direct
0.375 0.338 0.750
0.875 0.912 0.750
0.088 0.625 0.250
0.662 0.125 0.250
0.000 0.000 0.000
0.750 0.250 0.500
0.500 0.500 0.000
0.250 0.750 0.500
```

Calculated values
Formation energy without anion corrections   47 meV per atom
E above lowest polymorph   0 meV/atom
Electronic total energy   -12.74 eV/f.u.
Total moment   3.6 μB/f.u.

***

Record 14
Here is a relaxed Pr2TmNi crystal from Alexandria via LeMat-Bulk. Energies are from PBE.

```
Pr2TmNi
1.0
-2.072 -3.032 0.133
0.270 -2.286 2.864
-8.133 3.594 5.994
Tm Pr Ni
1 2 1
Direct
0.000 0.000 0.000
0.891 0.891 0.328
0.109 0.109 0.672
0.500 0.500 0.500
```

Calculated values
E above lowest polymorph   203 meV/atom
Electronic total energy   -19.14 eV/f.u.
Total moment   0.0 μB/f.u.

***

Record 15
Here is a relaxed Pm2PuHfP4 crystal from Alexandria via LeMat-Bulk. Energies are from PBE.

```
Pm2PuHfP4
1.0
3.972 0.000 0.000
0.000 6.859 0.126
0.000 -2.390 6.474
Pu P Pm Hf
1 4 2 1
Direct
0.000 0.000 0.000
0.500 0.252 0.231
0.000 0.266 0.773
0.500 0.748 0.769
0.000 0.734 0.227
0.500 0.000 0.500
0.000 0.500 0.500
0.500 0.500 0.000
```

Calculated values
Electronic total energy   -66.56 eV/f.u.
Total moment   5.1 μB/f.u.

***

Record 16
Here is a relaxed CaDy2In3Te6 crystal from Alexandria via LeMat-Bulk. Energies are from PBE.

```
CaDy2In3Te6
1.0
-0.142 -7.694 0.493
4.920 3.466 -4.820
3.780 1.670 7.110
Ca Te Dy In
1 6 2 3
Direct
0.000 0.000 0.000
0.732 0.732 0.226
0.420 0.077 0.229
0.077 0.420 0.229
0.923 0.580 0.771
0.268 0.268 0.774
0.580 0.923 0.771
0.667 0.333 0.000
0.333 0.667 0.000
0.165 0.835 0.500
0.500 0.500 0.500
0.835 0.165 0.500
```

Calculated values
Formation energy without anion corrections   -939 meV per atom
Electronic total energy   -49.53 eV/f.u.
Total moment   0.0 μB/f.u.

***

Record 17
Here is a relaxed MnRe2Ru crystal from Alexandria via LeMat-Bulk. Energies are from PBE.

```
MnRe2Ru
1.0
-0.980 2.500 -0.377
-3.102 -1.464 -1.648
-2.454 -0.235 4.828
Ru Re Mn
1 2 1
Direct
0.000 0.000 0.507
0.500 0.500 0.256
0.000 0.000 0.987
0.500 0.500 0.750
```

Calculated values
E above lowest polymorph   76 meV/atom
Electronic total energy   -43.02 eV/f.u.
Total moment   1.6 μB/f.u.

***

Record 18
Here is a relaxed Pr7Sm12Ho crystal from Alexandria via LeMat-Bulk. Energies are from PBE.

```
Pr7Sm12Ho
1.0
8.620 1.265 1.899
-1.182 8.632 1.899
-1.182 -1.572 8.698
Sm Pr Ho
12 7 1
Direct
0.616 0.135 0.495
0.135 0.495 0.616
0.495 0.616 0.135
0.748 0.273 0.145
0.384 0.865 0.505
0.273 0.145 0.748
0.145 0.748 0.273
0.252 0.727 0.855
0.505 0.384 0.865
0.865 0.505 0.384
0.855 0.252 0.727
0.727 0.855 0.252
0.500 0.500 0.500
0.397 0.079 0.152
0.603 0.921 0.848
0.921 0.848 0.603
0.152 0.397 0.079
0.848 0.603 0.921
0.079 0.152 0.397
0.000 0.000 0.000
```

Calculated values
E above lowest polymorph   0 meV/atom
Electronic total energy   -90.26 eV/f.u.
Total moment   0.0 μB/f.u.

***

Record 19
Here is a relaxed MnCrH crystal from Alexandria via LeMat-Bulk. Energies are from PBE.

```
MnCrH
1.0
2.581 0.000 0.000
-1.291 2.235 0.000
0.000 0.000 4.212
H Mn Cr
1 1 1
Direct
0.667 0.333 0.337
0.333 0.667 0.600
0.000 0.000 0.063
```

Calculated values
E above lowest polymorph   10 meV/atom
Electronic total energy   -22.10 eV/f.u.
Total moment   0.1 μB/f.u.

***

Record 20
Here is a relaxed TbMgTiIn crystal from Alexandria via LeMat-Bulk. Energies are from PBE.

```
TbMgTiIn
1.0
-2.544 -3.724 2.285
2.280 -4.414 0.938
1.141 -1.296 4.751
In Tb Mg Ti
1 1 1 1
Direct
0.500 0.500 0.500
0.750 0.750 0.750
0.000 0.000 0.000
0.250 0.250 0.250
```

Calculated values
Electronic total energy   -17.14 eV/f.u.
Total moment   1.0 μB/f.u.